--- i ---
A plane-wave DFT calculation with PBE-GGA was carried out for a relaxed CeHoTc2 crystal.

abc: 3.4076 3.4076 6.8904
angles: 90.00 90.00 90.00
Space group P4/mmm (No. 123)
Asymmetric unit:
Ce 0.0000 0.0000 0.0000
Ho 0.0000 0.0000 0.5000
Tc 0.5000 0.5000 0.2268

Results
**Mass density**: 10.40 g/cm³
**Density of states at the Fermi level**: 1.4205 states/eV/atom
**Volume**: 20.00 Å³/atom

--- ii ---
A plane-wave DFT calculation with PBE-GGA was carried out for a relaxed CeHoTc2 crystal.

abc: 6.8378 6.8378 6.8378
angles: 90.00 90.00 90.00
Space group Fm-3m (No. 225)
Asymmetric unit:
Ce 0.0000 0.0000 0.0000
Ho 0.0000 0.0000 0.5000
Tc 0.2500 0.2500 0.2500

Results
**Mass density**: 10.41 g/cm³
**Density of states at the Fermi level**: 1.3794 states/eV/atom
**Volume**: 19.98 Å³/atom

Order from most stable to least stable according to the calculation: i, ii

--- i ---
A plane-wave DFT calculation with PBE-GGA was carried out for a relaxed CeHo2Tc crystal.

abc: 3.4344 3.4344 8.8533
angles: 90.00 90.00 90.00
Space group P4/mmm (No. 123)
Asymmetric unit:
Ce 0.0000 0.0000 0.0000
Ho 0.5000 0.5000 0.3144
Tc 0.0000 0.0000 0.5000

Results
**Mass density**: 9.03 g/cm³
**Density of states at the Fermi level**: 2.2511 states/eV/atom
**Volume**: 26.11 Å³/atom

--- ii ---
A plane-wave DFT calculation with PBE-GGA was carried out for a relaxed CeHo2Tc crystal.

abc: 7.1443 9.5379 6.3061
angles: 90.00 90.00 90.00
Space group Pnma (No. 62)
Asymmetric unit:
Ce 0.0546 0.2500 0.1400
Ho 0.1768 0.0647 0.6694
Tc 0.1362 0.7500 0.4996

Results
**Mass density**: 8.78 g/cm³
**Density of states at the Fermi level**: 1.3437 states/eV/atom
**Volume**: 26.86 Å³/atom

Order from most stable to least stable according to the calculation: ii, i